The following is a DFT calculation (PBE) of an optimized crystal structure of Li4Ac5Tl4.

```
data_Li4Ac5Tl4
_chemical_formula_sum 'Li4 Ac5 Tl4'
_cell_length_a 4.964
_cell_length_b 9.416
_cell_length_c 9.416
_cell_angle_alpha 86.02
_cell_angle_beta 74.72
_cell_angle_gamma 74.72
_symmetry_space_group_name_H-M 'P 1'
_symmetry_Int_Tables_number 1
loop_
_symmetry_equiv_pos_as_xyz
'x,y,z'
loop_
_atom_site_label
_atom_site_type_symbol
_atom_site_fract_x
_atom_site_fract_y
_atom_site_fract_z
Tl1 Tl 0.736 0.316 0.212
Li1 Li 0.098 0.469 0.334
Li2 Li 0.433 0.666 0.469
Tl2 Tl 0.264 0.684 0.788
Ac1 Ac 0.000 0.000 0.000
Ac2 Ac 0.370 0.341 0.920
Li3 Li 0.567 0.334 0.531
Tl3 Tl 0.948 0.788 0.316
Tl4 Tl 0.052 0.212 0.684
Ac3 Ac 0.289 0.080 0.341
Li4 Li 0.902 0.531 0.666
Ac4 Ac 0.630 0.659 0.080
Ac5 Ac 0.711 0.920 0.659
```

- energy relative to the elements (eV/atom) = -0.255

---

The following is a DFT calculation (PBE) of an optimized crystal structure of TbMgTlSn.

```
data_TbMgTlSn
_chemical_formula_sum 'Tb1 Mg1 Tl1 Sn1'
_cell_length_a 5.283
_cell_length_b 5.283
_cell_length_c 5.283
_cell_angle_alpha 60.00
_cell_angle_beta 60.00
_cell_angle_gamma 60.00
_symmetry_space_group_name_H-M 'P 1'
_symmetry_Int_Tables_number 1
loop_
_symmetry_equiv_pos_as_xyz
'x,y,z'
loop_
_atom_site_label
_atom_site_type_symbol
_atom_site_fract_x
_atom_site_fract_y
_atom_site_fract_z
Sn1 Sn 0.750 0.750 0.750
Mg1 Mg 0.500 0.500 0.500
Tl1 Tl 0.250 0.250 0.250
Tb1 Tb 0.000 0.000 0.000
```

- energy relative to the elements (eV/atom) = -0.252

---

The following is a DFT calculation (PBE) of an optimized crystal structure of CdHgTe2.

```
data_CdHgTe2
_chemical_formula_sum 'Cd2 Hg2 Te4'
_cell_length_a 6.090
_cell_length_b 6.090
_cell_length_c 7.591
_cell_angle_alpha 66.35
_cell_angle_beta 66.35
_cell_angle_gamma 90.00
_symmetry_space_group_name_H-M 'P 1'
_symmetry_Int_Tables_number 1
loop_
_symmetry_equiv_pos_as_xyz
'x,y,z'
loop_
_atom_site_label
_atom_site_type_symbol
_atom_site_fract_x
_atom_site_fract_y
_atom_site_fract_z
Hg1 Hg 0.000 0.000 0.000
Te1 Te 0.258 0.258 0.484
Cd1 Cd 0.500 0.500 0.000
Te2 Te 0.492 0.992 0.016
Hg2 Hg 0.750 0.250 0.500
Cd2 Cd 0.250 0.750 0.500
Te3 Te 0.008 0.508 0.984
Te4 Te 0.742 0.742 0.516
```

- uncorrected formation energy (meV/atom) = -150

---

The following is a DFT calculation (PBE) of an optimized crystal structure of Nb2Te5Ru.

```
data_Nb2Te5Ru
_chemical_formula_sum 'Nb4 Te10 Ru2'
_cell_length_a 5.343
_cell_length_b 7.421
_cell_length_c 12.365
_cell_angle_alpha 90.00
_cell_angle_beta 90.00
_cell_angle_gamma 111.10
_symmetry_space_group_name_H-M 'P 1'
_symmetry_Int_Tables_number 1
loop_
_symmetry_equiv_pos_as_xyz
'x,y,z'
loop_
_atom_site_label
_atom_site_type_symbol
_atom_site_fract_x
_atom_site_fract_y
_atom_site_fract_z
Nb1 Nb 0.181 0.363 0.529
Te1 Te 0.658 0.317 0.601
Te2 Te 0.658 0.317 0.899
Te3 Te 0.342 0.683 0.101
Nb2 Nb 0.819 0.637 0.471
Te4 Te 0.044 0.088 0.382
Te5 Te 0.258 0.517 0.750
Ru1 Ru 0.805 0.609 0.750
Nb3 Nb 0.181 0.363 0.971
Nb4 Nb 0.819 0.637 0.029
Ru2 Ru 0.195 0.391 0.250
Te6 Te 0.044 0.088 0.118
Te7 Te 0.956 0.912 0.882
Te8 Te 0.342 0.683 0.399
Te9 Te 0.956 0.912 0.618
Te10 Te 0.742 0.483 0.250
```

- uncorrected formation energy (meV/atom) = -123

---

These records have magnetic moment values of 0.000 0.000 0.000 0.000 μB per atom, in the order they appear.